[1]
Material: K7AuCl2O2
Method: DFT, GGA-PBE
State: relaxed

```
data_K7AuCl2O2
_symmetry_space_group_name_H-M 'P 1'
_symmetry_Int_Tables_number 1
_cell_length_a 12.820
_cell_length_b 12.820
_cell_length_c 12.820
_cell_angle_alpha 155.77
_cell_angle_beta 36.71
_cell_angle_gamma 152.84
loop_
_symmetry_equiv_pos_as_xyz
'x,y,z'
loop_
_atom_site_label
_atom_site_type_symbol
_atom_site_fract_x
_atom_site_fract_y
_atom_site_fract_z
_atom_site_occupancy
K1 K 0.000 0.000 0.000 1
K2 K 0.141 0.532 0.609 1
K3 K 0.258 0.048 0.211 1
K4 K 0.408 0.510 0.898 1
K5 K 0.613 0.510 0.102 1
K6 K 0.837 0.048 0.789 1
K7 K 0.923 0.532 0.391 1
Au1 Au 0.578 0.078 0.500 1
Cl1 Cl 0.319 0.549 0.770 1
Cl2 Cl 0.779 0.549 0.230 1
O1 O 0.180 0.076 0.104 1
O2 O 0.972 0.076 0.896 1
```

Summary:
E_form (uncorrected) in eV per atom: -1.173
Spin magnetization in μB/f.u.: 0.1
Space group: No. 44



[2]
Material: Sr2LiGaS4
Method: DFT, GGA-PBE
State: relaxed

```
data_Sr2LiGaS4
_symmetry_space_group_name_H-M 'P 1'
_symmetry_Int_Tables_number 1
_cell_length_a 7.897
_cell_length_b 7.897
_cell_length_c 7.897
_cell_angle_alpha 118.34
_cell_angle_beta 117.84
_cell_angle_gamma 93.34
loop_
_symmetry_equiv_pos_as_xyz
'x,y,z'
loop_
_atom_site_label
_atom_site_type_symbol
_atom_site_fract_x
_atom_site_fract_y
_atom_site_fract_z
_atom_site_occupancy
Sr1 Sr 0.000 0.000 0.000 1
Sr2 Sr 0.500 0.000 0.000 1
Sr3 Sr 0.500 0.000 0.500 1
Sr4 Sr 0.500 0.500 0.500 1
Li1 Li 0.000 0.500 0.500 1
Li2 Li 0.500 0.500 0.000 1
Ga1 Ga 0.000 0.000 0.500 1
Ga2 Ga 0.000 0.500 0.000 1
S1 S 0.218 0.736 0.482 1
S2 S 0.219 0.231 0.512 1
S3 S 0.219 0.707 0.988 1
S4 S 0.246 0.264 0.982 1
S5 S 0.754 0.736 0.018 1
S6 S 0.781 0.293 0.012 1
S7 S 0.781 0.769 0.488 1
S8 S 0.782 0.264 0.518 1
```

Summary:
E_form (uncorrected) in eV per atom: -1.349
Spin magnetization in μB/f.u.: 0.0
Space group: No. 74



[3]
Material: Pr12Ga6H
Method: DFT, GGA-PBE
State: relaxed

```
data_Pr12Ga6H
_symmetry_space_group_name_H-M 'P 1'
_symmetry_Int_Tables_number 1
_cell_length_a 8.223
_cell_length_b 8.223
_cell_length_c 8.223
_cell_angle_alpha 93.81
_cell_angle_beta 93.81
_cell_angle_gamma 93.81
loop_
_symmetry_equiv_pos_as_xyz
'x,y,z'
loop_
_atom_site_label
_atom_site_type_symbol
_atom_site_fract_x
_atom_site_fract_y
_atom_site_fract_z
_atom_site_occupancy
Pr1 Pr 0.040 0.690 0.925 1
Pr2 Pr 0.075 0.960 0.310 1
Pr3 Pr 0.190 0.541 0.420 1
Pr4 Pr 0.310 0.075 0.960 1
Pr5 Pr 0.420 0.190 0.541 1
Pr6 Pr 0.459 0.580 0.810 1
Pr7 Pr 0.541 0.420 0.190 1
Pr8 Pr 0.580 0.810 0.459 1
Pr9 Pr 0.690 0.925 0.040 1
Pr10 Pr 0.810 0.459 0.580 1
Pr11 Pr 0.925 0.040 0.690 1
Pr12 Pr 0.960 0.310 0.075 1
Ga1 Ga 0.150 0.350 0.748 1
Ga2 Ga 0.252 0.850 0.650 1
Ga3 Ga 0.350 0.748 0.150 1
Ga4 Ga 0.650 0.252 0.850 1
Ga5 Ga 0.748 0.150 0.350 1
Ga6 Ga 0.850 0.650 0.252 1
H1 H 0.500 0.500 0.500 1
```

Summary:
Spin magnetization in μB/f.u.: 0.0
Space group: No. 148



[4]
Material: Tm2Zn12GaCu3
Method: DFT, GGA-PBE
State: relaxed

```
data_Tm2Zn12GaCu3
_symmetry_space_group_name_H-M 'P 1'
_symmetry_Int_Tables_number 1
_cell_length_a 6.722
_cell_length_b 6.722
_cell_length_c 6.722
_cell_angle_alpha 85.77
_cell_angle_beta 85.77
_cell_angle_gamma 85.77
loop_
_symmetry_equiv_pos_as_xyz
'x,y,z'
loop_
_atom_site_label
_atom_site_type_symbol
_atom_site_fract_x
_atom_site_fract_y
_atom_site_fract_z
_atom_site_occupancy
Tm1 Tm 0.250 0.250 0.250 1
Tm2 Tm 0.750 0.750 0.750 1
Zn1 Zn 0.072 0.072 0.652 1
Zn2 Zn 0.072 0.652 0.072 1
Zn3 Zn 0.211 0.699 0.699 1
Zn4 Zn 0.301 0.301 0.789 1
Zn5 Zn 0.301 0.789 0.301 1
Zn6 Zn 0.348 0.928 0.928 1
Zn7 Zn 0.652 0.072 0.072 1
Zn8 Zn 0.699 0.211 0.699 1
Zn9 Zn 0.699 0.699 0.211 1
Zn10 Zn 0.789 0.301 0.301 1
Zn11 Zn 0.928 0.348 0.928 1
Zn12 Zn 0.928 0.928 0.348 1
Ga1 Ga 0.500 0.500 0.500 1
Cu1 Cu 0.000 0.500 0.500 1
Cu2 Cu 0.500 0.000 0.500 1
Cu3 Cu 0.500 0.500 0.000 1
```

Summary:
Spin magnetization in μB/f.u.: 0.0
Space group: No. 166



[5]
Material: SbAs2SeCl
Method: DFT, GGA-PBE
State: relaxed

```
data_SbAs2SeCl
_symmetry_space_group_name_H-M 'P 1'
_symmetry_Int_Tables_number 1
_cell_length_a 5.421
_cell_length_b 5.421
_cell_length_c 5.232
_cell_angle_alpha 90.00
_cell_angle_beta 90.00
_cell_angle_gamma 90.00
loop_
_symmetry_equiv_pos_as_xyz
'x,y,z'
loop_
_atom_site_label
_atom_site_type_symbol
_atom_site_fract_x
_atom_site_fract_y
_atom_site_fract_z
_atom_site_occupancy
Sb1 Sb 0.000 0.000 0.000 1
As1 As 0.000 0.500 0.000 1
As2 As 0.500 0.000 0.000 1
Se1 Se 0.000 0.000 0.500 1
Cl1 Cl 0.500 0.500 0.500 1
```

Summary:
E_form (uncorrected) in eV per atom: 0.807
Spin magnetization in μB/f.u.: 1.2
Space group: No. 123
Energy above the most stable polymorph in this dataset in eV per atom: 0.000



[6]
Material: Y3Al2Ga4
Method: DFT, GGA-PBE
State: relaxed

```
data_Y3Al2Ga4
_symmetry_space_group_name_H-M 'P 1'
_symmetry_Int_Tables_number 1
_cell_length_a 5.897
_cell_length_b 5.897
_cell_length_c 8.437
_cell_angle_alpha 102.37
_cell_angle_beta 102.37
_cell_angle_gamma 42.37
loop_
_symmetry_equiv_pos_as_xyz
'x,y,z'
loop_
_atom_site_label
_atom_site_type_symbol
_atom_site_fract_x
_atom_site_fract_y
_atom_site_fract_z
_atom_site_occupancy
Y1 Y 0.000 0.000 0.000 1
Y2 Y 0.335 0.335 0.331 1
Y3 Y 0.665 0.665 0.669 1
Al1 Al 0.387 0.387 0.721 1
Al2 Al 0.613 0.613 0.279 1
Ga1 Ga 0.059 0.059 0.392 1
Ga2 Ga 0.284 0.284 0.951 1
Ga3 Ga 0.716 0.716 0.049 1
Ga4 Ga 0.941 0.941 0.608 1
```

Summary:
Spin magnetization in μB/f.u.: 0.0
Space group: No. 12



[7]
Material: CsVSN2
Method: DFT, GGA-PBE
State: relaxed

```
data_CsVSN2
_symmetry_space_group_name_H-M 'P 1'
_symmetry_Int_Tables_number 1
_cell_length_a 4.183
_cell_length_b 4.183
_cell_length_c 6.416
_cell_angle_alpha 90.00
_cell_angle_beta 90.00
_cell_angle_gamma 90.00
loop_
_symmetry_equiv_pos_as_xyz
'x,y,z'
loop_
_atom_site_label
_atom_site_type_symbol
_atom_site_fract_x
_atom_site_fract_y
_atom_site_fract_z
_atom_site_occupancy
Cs1 Cs 0.000 0.000 0.000 1
V1 V 0.500 0.500 0.500 1
S1 S 0.000 0.000 0.500 1
N1 N 0.000 0.500 0.000 1
N2 N 0.500 0.000 0.000 1
```

Summary:
E_form (uncorrected) in eV per atom: 2.467
Spin magnetization in μB/f.u.: 2.0
Space group: No. 123



[8]
Material: AcNd3Tc
Method: DFT, GGA-PBE
State: relaxed

```
data_AcNd3Tc
_symmetry_space_group_name_H-M 'P 1'
_symmetry_Int_Tables_number 1
_cell_length_a 5.607
_cell_length_b 5.607
_cell_length_c 5.607
_cell_angle_alpha 90.00
_cell_angle_beta 90.00
_cell_angle_gamma 90.00
loop_
_symmetry_equiv_pos_as_xyz
'x,y,z'
loop_
_atom_site_label
_atom_site_type_symbol
_atom_site_fract_x
_atom_site_fract_y
_atom_site_fract_z
_atom_site_occupancy
Ac1 Ac 0.000 0.000 0.000 1
Nd1 Nd 0.000 0.500 0.500 1
Nd2 Nd 0.500 0.000 0.500 1
Nd3 Nd 0.500 0.500 0.000 1
Tc1 Tc 0.500 0.500 0.500 1
```

Summary:
Spin magnetization in μB/f.u.: 0.0
Space group: No. 221



[9]
Material: EuDyHgRh
Method: DFT, GGA-PBE
State: relaxed

```
data_EuDyHgRh
_symmetry_space_group_name_H-M 'P 1'
_symmetry_Int_Tables_number 1
_cell_length_a 5.128
_cell_length_b 5.128
_cell_length_c 5.128
_cell_angle_alpha 60.00
_cell_angle_beta 60.00
_cell_angle_gamma 60.00
loop_
_symmetry_equiv_pos_as_xyz
'x,y,z'
loop_
_atom_site_label
_atom_site_type_symbol
_atom_site_fract_x
_atom_site_fract_y
_atom_site_fract_z
_atom_site_occupancy
Eu1 Eu 0.000 0.000 0.000 1
Dy1 Dy 0.500 0.500 0.500 1
Hg1 Hg 0.250 0.250 0.250 1
Rh1 Rh 0.750 0.750 0.750 1
```

Summary:
Spin magnetization in μB/f.u.: 6.9
Space group: No. 216



[10]
Material: LaFe2Pb
Method: DFT, GGA-PBE
State: relaxed

```
data_LaFe2Pb
_symmetry_space_group_name_H-M 'P 1'
_symmetry_Int_Tables_number 1
_cell_length_a 3.916
_cell_length_b 5.396
_cell_length_c 5.396
_cell_angle_alpha 46.89
_cell_angle_beta 90.00
_cell_angle_gamma 90.00
loop_
_symmetry_equiv_pos_as_xyz
'x,y,z'
loop_
_atom_site_label
_atom_site_type_symbol
_atom_site_fract_x
_atom_site_fract_y
_atom_site_fract_z
_atom_site_occupancy
La1 La 0.000 0.000 0.000 1
Fe1 Fe 0.000 0.711 0.711 1
Fe2 Fe 0.500 0.586 0.586 1
Pb1 Pb 0.500 0.290 0.290 1
```

Summary:
Spin magnetization in μB/f.u.: 3.5
Space group: No. 38



[11]
Material: Sr2RhSeN
Method: DFT, GGA-PBE
State: relaxed

```
data_Sr2RhSeN
_symmetry_space_group_name_H-M 'P 1'
_symmetry_Int_Tables_number 1
_cell_length_a 5.458
_cell_length_b 5.458
_cell_length_c 3.807
_cell_angle_alpha 90.00
_cell_angle_beta 90.00
_cell_angle_gamma 90.00
loop_
_symmetry_equiv_pos_as_xyz
'x,y,z'
loop_
_atom_site_label
_atom_site_type_symbol
_atom_site_fract_x
_atom_site_fract_y
_atom_site_fract_z
_atom_site_occupancy
Sr1 Sr 0.000 0.500 0.000 1
Sr2 Sr 0.500 0.000 0.000 1
Rh1 Rh 0.000 0.000 0.500 1
Se1 Se 0.500 0.500 0.500 1
N1 N 0.000 0.000 0.000 1
```

Summary:
E_form (uncorrected) in eV per atom: -1.020
Spin magnetization in μB/f.u.: 0.0
Space group: No. 123



[12]
Material: NaAc6Se8
Method: DFT, GGA-PBE
State: relaxed

```
data_NaAc6Se8
_symmetry_space_group_name_H-M 'P 1'
_symmetry_Int_Tables_number 1
_cell_length_a 8.880
_cell_length_b 8.880
_cell_length_c 8.880
_cell_angle_alpha 60.00
_cell_angle_beta 60.00
_cell_angle_gamma 60.00
loop_
_symmetry_equiv_pos_as_xyz
'x,y,z'
loop_
_atom_site_label
_atom_site_type_symbol
_atom_site_fract_x
_atom_site_fract_y
_atom_site_fract_z
_atom_site_occupancy
Na1 Na 0.000 0.000 0.000 1
Ac1 Ac 0.000 0.000 0.500 1
Ac2 Ac 0.000 0.500 0.000 1
Ac3 Ac 0.000 0.500 0.500 1
Ac4 Ac 0.500 0.000 0.000 1
Ac5 Ac 0.500 0.000 0.500 1
Ac6 Ac 0.500 0.500 0.000 1
Se1 Se 0.246 0.246 0.754 1
Se2 Se 0.246 0.754 0.246 1
Se3 Se 0.246 0.754 0.754 1
Se4 Se 0.250 0.250 0.250 1
Se5 Se 0.750 0.750 0.750 1
Se6 Se 0.754 0.246 0.246 1
Se7 Se 0.754 0.246 0.754 1
Se8 Se 0.754 0.754 0.246 1
```

Summary:
E_form (uncorrected) in eV per atom: -1.856
Spin magnetization in μB/f.u.: 0.0
Space group: No. 225



Values for E_tot, eV/atom, ordered as above
-3.220, -4.450, -4.472, -2.204, -2.943, -4.937, -3.683, -5.593, -6.110, -6.252, -5.525, -5.446